Entry 1:
Dy2ZnNi4Sn3 (PBE-GGA, relaxed); calculated density = 8.713 g cm⁻³; space-group type = P-4m2, No. 115; DFT total energy = -5.018 eV/atom; energy of formation = -0.46 eV per atom
1.0
4.250 0.000 0.000
0.000 4.250 0.000
0.000 0.000 10.355
Dy Zn Ni Sn
2 1 4 3
Direct
0.500 0.000 0.253
0.000 0.500 0.747
0.500 0.500 0.500
0.500 0.500 0.000
0.000 0.000 0.000
0.500 0.000 0.630
0.000 0.500 0.370
0.000 0.000 0.500
0.500 0.000 0.868
0.000 0.500 0.132


Entry 2:
SrDyNi4 (PBE-GGA, relaxed); calculated density = 8.320 g cm⁻³; space-group type = F-43m, No. 216; DFT total energy = -5.081 eV/atom; energy of formation = -0.18 eV per atom
1.0
-3.061 3.820 1.611
-4.476 -1.086 2.312
-0.577 0.887 5.044
Sr Ni Dy
1 4 1
Direct
0.000 0.000 0.000
0.624 0.624 0.128
0.624 0.128 0.624
0.624 0.624 0.624
0.128 0.624 0.624
0.250 0.250 0.250


Entry 3:
SrDyNi2 (PBE-GGA, relaxed); calculated density = 7.061 g cm⁻³; space-group type = P4/mmm, No. 123; DFT total energy = -4.624 eV/atom; energy of formation = -0.16 eV per atom
1.0
-0.441 2.461 -2.434
-2.607 -1.850 -1.398
-4.631 3.341 4.218
Sr Ni Dy
1 2 1
Direct
0.500 0.500 0.500
0.000 0.000 0.804
0.000 0.000 0.196
0.500 0.500 0.000


Entry 4:
SrDy3Ni (PBE-GGA, relaxed); calculated density = 6.574 g cm⁻³; space-group type = Pm-3m, No. 221; DFT total energy = -4.295 eV/atom; energy of formation = -0.04 eV per atom
1.0
-1.434 4.601 2.502
-3.368 1.176 -4.093
-4.010 -2.633 2.544
Sr Ni Dy
1 1 3
Direct
0.500 0.500 0.500
0.000 0.000 0.000
0.000 0.500 0.000
0.000 0.000 0.500
0.500 0.000 0.000


> What is the formula in the second record?

SrDyNi4


> Among the records above, which one has the highest calculated density?

Dy2ZnNi4Sn3